# Dy3Lu4Te2Pd2, relaxed, DFT GGA-PBE
data_Dy3Lu4Te2Pd2
_chemical_formula_sum 'Dy6 Lu8 Te4 Pd4'
_cell_length_a 3.931
_cell_length_b 15.525
_cell_length_c 9.509
_cell_angle_alpha 90.00
_cell_angle_beta 90.00
_cell_angle_gamma 90.00
_space_group_name_H-M_alt 'I m m 2'
_space_group_IT_number 44
loop_
_space_group_symop_operation_xyz
'x,y,z'
'-x,-y,z'
'-x,y,z'
'x,-y,z'
'x+1/2,y+1/2,z+1/2'
'-x+1/2,-y+1/2,z+1/2'
'-x+1/2,y+1/2,z+1/2'
'x+1/2,-y+1/2,z+1/2'
loop_
_atom_site_label
_atom_site_type_symbol
_atom_site_fract_x
_atom_site_fract_y
_atom_site_fract_z
_atom_site_occupancy
Dy1 Dy 0.000 0.000 0.000 1
Dy2 Dy 0.000 0.355 0.262 1
Lu1 Lu 0.000 0.131 0.415 1
Lu2 Lu 0.000 0.318 0.625 1
Te1 Te 0.000 0.000 0.657 1
Te2 Te 0.000 0.500 0.767 1
Pd1 Pd 0.000 0.239 0.933 1
# E_tot = -115.9 eV for the cell shown
# Distance to the lowest polymorph of the same formula = 0.000 eV per atom